Record 1
VASP calculation (GGA-PBE) on an optimized crystal structure of RbSiP2Cl.

a = 4.4917 Å, b = 4.4917 Å, c = 6.6008 Å
α = 90.00°, β = 90.00°, γ = 90.00°
Closest atoms and distances in Å follow each position.
Fractional coordinates of all 5 atoms:
1 Rb 0.5000 0.5000 0.5000  4 Cl 3.18
2 P 0.0000 0.5000 0.0000  2 Si 2.25
3 P 0.5000 0.0000 0.0000  2 Si 2.25
4 Cl 0.0000 0.0000 0.5000  4 Rb 3.18, 2 Si 3.30
5 Si 0.0000 0.0000 0.0000  4 P 2.25

Summary:
M_tot	0.00	Bohr magnetons per cell
offset from the most stable computed form	0.0000	eV/atom

Record 2
VASP calculation (GGA-PBE) on an optimized crystal structure of RbSiP2Cl.

a = 5.6121 Å, b = 5.6121 Å, c = 5.6147 Å
α = 90.00°, β = 90.00°, γ = 90.00°
Closest atoms and distances in Å follow each position.
Fractional coordinates of all 5 atoms:
1 Rb 0.0000 0.0000 0.0000  4 P 2.81, 2 Cl 2.81
2 Cl 0.0000 0.0000 0.5000  2 Rb 2.81
3 Si 0.5000 0.5000 0.5000  4 Cl 3.97, 8 P 3.97
4 P 0.0000 0.5000 0.0000  2 Rb 2.81
5 P 0.5000 0.0000 0.0000  2 Rb 2.81

Summary:
M_tot	1.50	Bohr magnetons per cell
offset from the most stable computed form	1.7576	eV/atom

Record 3
VASP calculation (GGA-PBE) on an optimized crystal structure of Rb2SiPCl6.

a = 7.3156 Å, b = 7.3156 Å, c = 7.1757 Å
α = 59.35°, β = 59.35°, γ = 90.00°
Closest atoms and distances in Å follow each position.
Fractional coordinates of all 10 atoms:
1 Si 0.5000 0.5000 0.0000  6 Cl 2.47-2.54
2 Cl 0.7550 0.7550 0.4899  1 P 2.44, 1 Si 2.54
3 Cl 0.2616 0.7384 0.0000  1 Si 2.47, 1 P 2.71
4 Cl 0.2616 0.2616 0.0000  1 Si 2.47, 1 P 2.71
5 Cl 0.7384 0.2616 0.0000  1 Si 2.47, 1 P 2.71
6 Cl 0.2450 0.2450 0.5101  1 P 2.44, 1 Si 2.54
7 Cl 0.7384 0.7384 0.0000  1 Si 2.47, 1 P 2.71
8 Rb 0.2500 0.7500 0.5000  12 Cl 3.59-3.66
9 Rb 0.7500 0.2500 0.5000  12 Cl 3.59-3.66
10 P 0.0000 0.0000 0.0000  6 Cl 2.44-2.71

Summary:
energy	-3.363	eV per atom
M_tot	0.00	Bohr magnetons per cell

Record 4
VASP calculation (GGA-PBE) on an optimized crystal structure of RbSnP2Cl.

a = 5.5338 Å, b = 5.5338 Å, c = 5.6159 Å
α = 90.00°, β = 90.00°, γ = 90.00°
Closest atoms and distances in Å follow each position.
Fractional coordinates of all 5 atoms:
1 P 0.0000 0.5000 0.0000  2 Rb 2.77
2 P 0.5000 0.0000 0.0000  2 Rb 2.77
3 Cl 0.0000 0.0000 0.5000  2 Rb 2.81
4 Sn 0.5000 0.5000 0.5000  4 Cl 3.91, 8 P 3.94
5 Rb 0.0000 0.0000 0.0000  4 P 2.77, 2 Cl 2.81

Summary:
M_tot	1.52	Bohr magnetons per cell
offset from the most stable computed form	1.1426	eV/atom

Record 5
VASP calculation (GGA-PBE) on an optimized crystal structure of RbSnPCl2.

a = 5.7902 Å, b = 5.7902 Å, c = 6.1199 Å
α = 90.00°, β = 90.00°, γ = 90.00°
Closest atoms and distances in Å follow each position.
Fractional coordinates of all 5 atoms:
1 Sn 0.5000 0.5000 0.5000  4 P 4.09, 8 Cl 4.21
2 Cl 0.0000 0.5000 0.0000  2 Rb 2.90
3 Cl 0.5000 0.0000 0.0000  2 Rb 2.90
4 P 0.0000 0.0000 0.5000  2 Rb 3.06
5 Rb 0.0000 0.0000 0.0000  4 Cl 2.90, 2 P 3.06

Summary:
M_tot	2.00	Bohr magnetons per cell
offset from the most stable computed form	0.9385	eV/atom

Record 6
VASP calculation (GGA-PBE) on an optimized crystal structure of RbSnP2Cl.

a = 5.0807 Å, b = 5.0807 Å, c = 5.9688 Å
α = 90.00°, β = 90.00°, γ = 90.00°
Closest atoms and distances in Å follow each position.
Fractional coordinates of all 5 atoms:
1 Cl 0.0000 0.0000 0.5000  2 Sn 2.98
2 Rb 0.5000 0.5000 0.5000  4 Cl 3.59, 8 P 3.92
3 P 0.0000 0.5000 0.0000  2 Sn 2.54
4 P 0.5000 0.0000 0.0000  2 Sn 2.54
5 Sn 0.0000 0.0000 0.0000  4 P 2.54

Summary:
M_tot	0.72	Bohr magnetons per cell
offset from the most stable computed form	0.0000	eV/atom

Record 7
VASP calculation (GGA-PBE) on an optimized crystal structure of RbSnPCl2.

a = 5.6045 Å, b = 5.6045 Å, c = 5.1272 Å
α = 90.00°, β = 90.00°, γ = 90.00°
Closest atoms and distances in Å follow each position.
Fractional coordinates of all 5 atoms:
1 Rb 0.5000 0.5000 0.5000  8 Cl 3.80, 4 P 3.96
2 Cl 0.0000 0.5000 0.0000  2 Sn 2.80
3 Cl 0.5000 0.0000 0.0000  2 Sn 2.80
4 P 0.0000 0.0000 0.5000  2 Sn 2.56
5 Sn 0.0000 0.0000 0.0000  2 P 2.56, 4 Cl 2.80

Summary:
M_tot	0.99	Bohr magnetons per cell
offset from the most stable computed form	0.0000	eV/atom

Record 8
VASP calculation (GGA-PBE) on an optimized crystal structure of RbSrP2Cl.

a = 5.4245 Å, b = 5.4245 Å, c = 5.7789 Å
α = 90.00°, β = 90.00°, γ = 90.00°
Closest atoms and distances in Å follow each position.
Fractional coordinates of all 5 atoms:
1 Rb 0.0000 0.0000 0.0000  4 P 2.71, 2 Cl 2.89
2 Cl 0.0000 0.0000 0.5000  2 Rb 2.89
3 P 0.5000 0.0000 0.0000  2 Rb 2.71
4 P 0.0000 0.5000 0.0000  2 Rb 2.71
5 Sr 0.5000 0.5000 0.5000  4 Cl 3.84, 8 P 3.96

Summary:
M_tot	0.85	Bohr magnetons per cell
offset from the most stable computed form	0.5682	eV/atom

Record 9
VASP calculation (GGA-PBE) on an optimized crystal structure of RbSrPCl2.

a = 5.7275 Å, b = 5.7275 Å, c = 6.1480 Å
α = 90.00°, β = 90.00°, γ = 90.00°
Closest atoms and distances in Å follow each position.
Fractional coordinates of all 5 atoms:
1 Cl 0.0000 0.5000 0.0000  2 Sr 2.86
2 Cl 0.5000 0.0000 0.0000  2 Sr 2.86
3 Rb 0.5000 0.5000 0.5000  4 P 4.05, 8 Cl 4.20
4 P 0.0000 0.0000 0.5000  2 Sr 3.07
5 Sr 0.0000 0.0000 0.0000  4 Cl 2.86, 2 P 3.07

Summary:
M_tot	2.00	Bohr magnetons per cell
offset from the most stable computed form	0.0000	eV/atom

Record 10
VASP calculation (GGA-PBE) on an optimized crystal structure of RbSrP2Cl.

a = 6.0407 Å, b = 6.0407 Å, c = 5.6835 Å
α = 90.00°, β = 90.00°, γ = 90.00°
Closest atoms and distances in Å follow each position.
Fractional coordinates of all 5 atoms:
1 Cl 0.0000 0.0000 0.5000  2 Sr 2.84
2 P 0.0000 0.5000 0.0000  2 Sr 3.02
3 P 0.5000 0.0000 0.0000  2 Sr 3.02
4 Sr 0.0000 0.0000 0.0000  2 Cl 2.84, 4 P 3.02
5 Rb 0.5000 0.5000 0.5000  8 P 4.15, 4 Cl 4.27

Summary:
M_tot	3.96	Bohr magnetons per cell
offset from the most stable computed form	0.0000	eV/atom

Record 11
VASP calculation (GGA-PBE) on an optimized crystal structure of RbSrPCl2.

a = 5.7387 Å, b = 5.7387 Å, c = 5.6654 Å
α = 90.00°, β = 90.00°, γ = 90.00°
Closest atoms and distances in Å follow each position.
Fractional coordinates of all 5 atoms:
1 Cl 0.0000 0.5000 0.0000  2 Rb 2.87
2 Cl 0.5000 0.0000 0.0000  2 Rb 2.87
3 Sr 0.5000 0.5000 0.5000  8 Cl 4.03, 4 P 4.06
4 Rb 0.0000 0.0000 0.0000  2 P 2.83, 4 Cl 2.87
5 P 0.0000 0.0000 0.5000  2 Rb 2.83

Summary:
M_tot	1.00	Bohr magnetons per cell
offset from the most stable computed form	0.6880	eV/atom

Record 12
VASP calculation (GGA-PBE) on an optimized crystal structure of RbTePCl2.

a = 5.9371 Å, b = 5.9371 Å, c = 6.6642 Å
α = 90.00°, β = 90.00°, γ = 90.00°
Closest atoms and distances in Å follow each position.
Fractional coordinates of all 5 atoms:
1 P 0.0000 0.0000 0.5000  2 Rb 3.33
2 Te 0.5000 0.5000 0.5000  4 P 4.20, 8 Cl 4.46
3 Cl 0.0000 0.5000 0.0000  2 Rb 2.97
4 Cl 0.5000 0.0000 0.0000  2 Rb 2.97
5 Rb 0.0000 0.0000 0.0000  4 Cl 2.97

Summary:
M_tot	4.16	Bohr magnetons per cell
offset from the most stable computed form	1.0491	eV/atom

Record 13
VASP calculation (GGA-PBE) on an optimized crystal structure of RbTePCl2.

a = 5.8118 Å, b = 5.8118 Å, c = 4.8923 Å
α = 90.00°, β = 90.00°, γ = 90.00°
Closest atoms and distances in Å follow each position.
Fractional coordinates of all 5 atoms:
1 Cl 0.5000 0.0000 0.0000  2 Te 2.91
2 Cl 0.0000 0.5000 0.0000  2 Te 2.91
3 Rb 0.5000 0.5000 0.5000  8 Cl 3.80, 4 P 4.11
4 P 0.0000 0.0000 0.5000  2 Te 2.45
5 Te 0.0000 0.0000 0.0000  2 P 2.45

Summary:
M_tot	0.00	Bohr magnetons per cell
offset from the most stable computed form	0.0000	eV/atom

Record 14
VASP calculation (GGA-PBE) on an optimized crystal structure of Rb2TiPCl6.

a = 8.1136 Å, b = 8.1136 Å, c = 7.3205 Å
α = 56.35°, β = 56.35°, γ = 90.00°
Closest atoms and distances in Å follow each position.
Fractional coordinates of all 10 atoms:
1 Cl 0.2109 0.7891 0.0000  1 Ti 2.42
2 Cl 0.7891 0.7891 0.0000  1 Ti 2.42
3 Cl 0.7891 0.2109 0.0000  1 Ti 2.42
4 Cl 0.2109 0.2109 0.0000  1 Ti 2.42
5 Cl 0.2538 0.2538 0.4924  1 P 2.24, 1 Ti 2.31
6 Cl 0.7462 0.7462 0.5076  1 P 2.24, 1 Ti 2.31
7 Rb 0.2500 0.7500 0.5000  12 Cl 3.69-4.06
8 Rb 0.7500 0.2500 0.5000  12 Cl 3.69-4.06
9 P 0.5000 0.5000 0.0000  2 Cl 2.24
10 Ti 0.0000 0.0000 0.0000  6 Cl 2.31-2.42

Summary:
energy	-3.857	eV per atom
M_tot	1.00	Bohr magnetons per cell

Record 15
VASP calculation (GGA-PBE) on an optimized crystal structure of RbTiP2Cl.

a = 4.7142 Å, b = 4.7142 Å, c = 5.5987 Å
α = 90.00°, β = 90.00°, γ = 90.00°
Closest atoms and distances in Å follow each position.
Fractional coordinates of all 5 atoms:
1 Ti 0.0000 0.0000 0.0000  4 P 2.36
2 Rb 0.5000 0.5000 0.5000  4 Cl 3.33, 8 P 3.66
3 P 0.0000 0.5000 0.0000  2 Ti 2.36
4 P 0.5000 0.0000 0.0000  2 Ti 2.36
5 Cl 0.0000 0.0000 0.5000  2 Ti 2.80

Summary:
M_tot	0.00	Bohr magnetons per cell
offset from the most stable computed form	0.0000	eV/atom

Record 16
VASP calculation (GGA-PBE) on an optimized crystal structure of RbTiP2Cl.

a = 5.2975 Å, b = 5.2975 Å, c = 5.4506 Å
α = 90.00°, β = 90.00°, γ = 90.00°
Closest atoms and distances in Å follow each position.
Fractional coordinates of all 5 atoms:
1 P 0.5000 0.0000 0.0000  2 Rb 2.65
2 P 0.0000 0.5000 0.0000  2 Rb 2.65
3 Ti 0.5000 0.5000 0.5000  4 Cl 3.75, 8 P 3.80
4 Cl 0.0000 0.0000 0.5000  2 Rb 2.73
5 Rb 0.0000 0.0000 0.0000  4 P 2.65, 2 Cl 2.73

Summary:
M_tot	0.29	Bohr magnetons per cell
offset from the most stable computed form	2.1757	eV/atom

Record 17
VASP calculation (GGA-PBE) on an optimized crystal structure of RbTl2PCl6.

a = 8.3296 Å, b = 8.3179 Å, c = 8.0389 Å
α = 58.74°, β = 58.67°, γ = 60.01°
Closest atoms and distances in Å follow each position.
Fractional coordinates of all 10 atoms:
1 Rb 0.8004 0.7992 0.6010  3 Cl 3.16
2 Cl 0.6842 0.1209 0.7762  2 Tl 2.95-3.08, 1 P 3.07, 1 Rb 3.16
3 Cl 0.4186 0.6849 0.7756  2 Tl 2.95-3.08, 1 P 3.08, 1 Rb 3.16
4 Cl 0.1211 0.4179 0.7764  2 Tl 2.95-3.08, 1 P 3.08, 1 Rb 3.16
5 Cl 0.2317 0.0360 0.2534  1 P 2.14
6 Cl 0.0360 0.4794 0.2528  1 P 2.14
7 Cl 0.4790 0.2326 0.2519  1 P 2.14
8 Tl 0.0845 0.0848 0.7454  3 Cl 3.08
9 Tl 0.5013 0.5009 0.4971  3 Cl 2.95
10 P 0.3048 0.3050 0.0855  3 Cl 2.14

Summary:
energy	-3.215	eV per atom
M_tot	0.00	Bohr magnetons per cell

Record 18
VASP calculation (GGA-PBE) on an optimized crystal structure of RbTlPCl2.

a = 6.1732 Å, b = 6.1732 Å, c = 6.2113 Å
α = 90.00°, β = 90.00°, γ = 90.00°
Closest atoms and distances in Å follow each position.
Fractional coordinates of all 5 atoms:
1 Tl 0.5000 0.5000 0.5000  4 P 4.37, 8 Cl 4.38
2 P 0.0000 0.0000 0.5000  2 Rb 3.11
3 Cl 0.5000 0.0000 0.0000  2 Rb 3.09
4 Cl 0.0000 0.5000 0.0000  2 Rb 3.09
5 Rb 0.0000 0.0000 0.0000  4 Cl 3.09, 2 P 3.11

Summary:
M_tot	3.06	Bohr magnetons per cell
offset from the most stable computed form	0.4148	eV/atom

Record 19
VASP calculation (GGA-PBE) on an optimized crystal structure of RbTlPCl2.

a = 5.8053 Å, b = 5.8053 Å, c = 5.2577 Å
α = 90.00°, β = 90.00°, γ = 90.00°
Closest atoms and distances in Å follow each position.
Fractional coordinates of all 5 atoms:
1 Rb 0.5000 0.5000 0.5000  8 Cl 3.92, 4 P 4.10
2 Cl 0.0000 0.5000 0.0000  2 Tl 2.90
3 Cl 0.5000 0.0000 0.0000  2 Tl 2.90
4 Tl 0.0000 0.0000 0.0000  2 P 2.63, 4 Cl 2.90
5 P 0.0000 0.0000 0.5000  2 Tl 2.63

Summary:
M_tot	1.81	Bohr magnetons per cell
offset from the most stable computed form	0.0000	eV/atom

Record 20
VASP calculation (GGA-PBE) on an optimized crystal structure of RbVPCl2.

a = 6.0654 Å, b = 6.0654 Å, c = 6.0770 Å
α = 90.00°, β = 90.00°, γ = 90.00°
Closest atoms and distances in Å follow each position.
Fractional coordinates of all 5 atoms:
1 V 0.5000 0.5000 0.5000  4 P 4.29, 8 Cl 4.29
2 Rb 0.0000 0.0000 0.0000  4 Cl 3.03, 2 P 3.04
3 P 0.0000 0.0000 0.5000  2 Rb 3.04
4 Cl 0.5000 0.0000 0.0000  2 Rb 3.03
5 Cl 0.0000 0.5000 0.0000  2 Rb 3.03

Summary:
M_tot	6.64	Bohr magnetons per cell
offset from the most stable computed form	1.6866	eV/atom